Density functional theory data (PBE) for TlAg2Br after structural relaxation.

Cell: 7.900 7.900 6.477 Å, 90.00 90.00 90.00°
Fractional coordinates of all 16 atoms:
1 Tl 0.000 0.000 0.000
2 Tl 0.000 0.500 0.250
3 Tl 0.500 0.000 0.750
4 Tl 0.500 0.500 0.500
5 Ag 0.240 0.250 0.625
6 Ag 0.250 0.740 0.875
7 Ag 0.250 0.760 0.375
8 Ag 0.260 0.250 0.125
9 Ag 0.740 0.750 0.125
10 Ag 0.750 0.240 0.375
11 Ag 0.750 0.260 0.875
12 Ag 0.760 0.750 0.625
13 Br 0.000 0.000 0.500
14 Br 0.000 0.500 0.750
15 Br 0.500 0.000 0.250
16 Br 0.500 0.500 0.000

Values from the calculation:
- Energy above the lowest structure with this stoichiometry: 9.9 kJ/mol of atoms
- M_tot: 0.0 μB/f.u.



Density functional theory data (PBE) for TlAgBr2 after structural relaxation.

Cell: 4.381 6.913 8.282 Å, 90.00 90.00 90.00°
Fractional coordinates of all 8 atoms:
1 Tl 0.000 0.000 0.000
2 Tl 0.500 0.500 0.000
3 Ag 0.000 0.000 0.500
4 Ag 0.500 0.500 0.500
5 Br 0.000 0.500 0.282
6 Br 0.000 0.500 0.718
7 Br 0.500 0.000 0.282
8 Br 0.500 0.000 0.718

Values from the calculation:
- M_tot: 0.0 μB/f.u.



Density functional theory data (PBE) for TlAg2Br after structural relaxation.

Cell: 6.261 10.630 4.267 Å, 90.00 132.44 90.00°
Fractional coordinates of all 8 atoms:
1 Tl 0.000 0.000 0.000
2 Tl 0.500 0.500 0.000
3 Ag 0.250 0.250 0.000
4 Ag 0.250 0.750 0.000
5 Ag 0.750 0.250 0.000
6 Ag 0.750 0.750 0.000
7 Br 0.000 0.500 0.000
8 Br 0.500 0.000 0.000

Values from the calculation:
- Energy above the lowest structure with this stoichiometry: 10.0 kJ/mol of atoms
- M_tot: 0.0 μB/f.u.



Density functional theory data (PBE) for TlAg3Br6 after structural relaxation.

Cell: 8.707 8.707 4.471 Å, 90.00 90.00 111.69°
Fractional coordinates of all 10 atoms:
1 Tl 0.000 0.000 0.000
2 Ag 0.000 0.500 0.500
3 Ag 0.500 0.000 0.500
4 Ag 0.500 0.500 0.000
5 Br 0.177 0.823 0.500
6 Br 0.184 0.436 0.000
7 Br 0.436 0.184 0.000
8 Br 0.564 0.816 0.000
9 Br 0.816 0.564 0.000
10 Br 0.823 0.177 0.500

Values from the calculation:
- Energy above the lowest structure with this stoichiometry: 0.0 kJ/mol of atoms
- M_tot: 0.0 μB/f.u.



Density functional theory data (PBE) for Tl2AgBr after structural relaxation.

Cell: 7.781 7.781 7.781 Å, 90.00 90.00 90.00°
Fractional coordinates of all 16 atoms:
1 Tl 0.250 0.250 0.250
2 Tl 0.250 0.250 0.750
3 Tl 0.250 0.750 0.250
4 Tl 0.250 0.750 0.750
5 Tl 0.750 0.250 0.250
6 Tl 0.750 0.250 0.750
7 Tl 0.750 0.750 0.250
8 Tl 0.750 0.750 0.750
9 Ag 0.000 0.000 0.000
10 Ag 0.000 0.500 0.500
11 Ag 0.500 0.000 0.500
12 Ag 0.500 0.500 0.000
13 Br 0.000 0.000 0.500
14 Br 0.000 0.500 0.000
15 Br 0.500 0.000 0.000
16 Br 0.500 0.500 0.500

Values from the calculation:
- Energy above the lowest structure with this stoichiometry: 8.7 kJ/mol of atoms
- M_tot: 0.0 μB/f.u.



Density functional theory data (PBE) for TlAgBr2 after structural relaxation.

Cell: 7.927 7.927 8.477 Å, 90.00 90.00 90.00°
Fractional coordinates of all 16 atoms:
1 Tl 0.000 0.000 0.000
2 Tl 0.000 0.500 0.250
3 Tl 0.500 0.000 0.750
4 Tl 0.500 0.500 0.500
5 Ag 0.000 0.000 0.500
6 Ag 0.000 0.500 0.750
7 Ag 0.500 0.000 0.250
8 Ag 0.500 0.500 0.000
9 Br 0.194 0.250 0.625
10 Br 0.250 0.694 0.875
11 Br 0.250 0.806 0.375
12 Br 0.306 0.250 0.125
13 Br 0.694 0.750 0.125
14 Br 0.750 0.194 0.375
15 Br 0.750 0.306 0.875
16 Br 0.806 0.750 0.625

Values from the calculation:
- M_tot: 0.0 μB/f.u.



Density functional theory data (PBE) for TlAg2Br after structural relaxation.

Cell: 3.764 5.284 5.233 Å, 90.00 91.17 90.00°
Fractional coordinates of all 4 atoms:
1 Tl 0.000 0.000 0.000
2 Ag 0.265 0.500 0.215
3 Ag 0.735 0.500 0.785
4 Br 0.500 0.000 0.500

Values from the calculation:
- Energy above the lowest structure with this stoichiometry: 7.3 kJ/mol of atoms
- M_tot: 0.0 μB/f.u.



Density functional theory data (PBE) for Tl2AgBr after structural relaxation.

Cell: 7.974 7.944 3.593 Å, 90.00 90.36 90.00°
Fractional coordinates of all 8 atoms:
1 Tl 0.250 0.250 0.000
2 Tl 0.250 0.750 0.000
3 Tl 0.750 0.250 0.000
4 Tl 0.750 0.750 0.000
5 Ag 0.000 0.000 0.500
6 Ag 0.500 0.500 0.500
7 Br 0.000 0.500 0.500
8 Br 0.500 0.000 0.500

Values from the calculation:
- Energy above the lowest structure with this stoichiometry: 3.8 kJ/mol of atoms
- M_tot: 0.0 μB/f.u.



Density functional theory data (PBE) for TlAg5Br6 after structural relaxation.

Cell: 7.329 7.329 7.330 Å, 99.37 99.37 118.89°
Fractional coordinates of all 12 atoms:
1 Tl 0.000 0.000 0.000
2 Ag 0.161 0.839 0.500
3 Ag 0.325 0.675 0.000
4 Ag 0.500 0.500 0.500
5 Ag 0.675 0.325 0.000
6 Ag 0.839 0.161 0.500
7 Br 0.115 0.474 0.251
8 Br 0.249 0.249 0.709
9 Br 0.474 0.115 0.251
10 Br 0.526 0.885 0.749
11 Br 0.751 0.751 0.291
12 Br 0.885 0.526 0.749

Values from the calculation:
- M_tot: 0.0 μB/f.u.



Density functional theory data (PBE) for Tl3Ag4Br9 after structural relaxation.

Cell: 11.152 11.152 11.152 Å, 39.60 39.60 39.60°
Fractional coordinates of all 16 atoms:
1 Tl 0.000 0.000 0.000
2 Tl 0.169 0.169 0.169
3 Tl 0.603 0.603 0.603
4 Ag 0.304 0.304 0.304
5 Ag 0.420 0.420 0.420
6 Ag 0.751 0.751 0.751
7 Ag 0.863 0.863 0.863
8 Br 0.021 0.573 0.479
9 Br 0.033 0.134 0.586
10 Br 0.134 0.586 0.033
11 Br 0.144 0.695 0.591
12 Br 0.479 0.021 0.573
13 Br 0.573 0.479 0.021
14 Br 0.586 0.033 0.134
15 Br 0.591 0.144 0.695
16 Br 0.695 0.591 0.144

Values from the calculation:
- M_tot: 0.0 μB/f.u.



Density functional theory data (PBE) for TlAg2Br4 after structural relaxation.

Cell: 6.108 6.108 6.793 Å, 90.00 90.00 90.00°
Fractional coordinates of all 7 atoms:
1 Tl 0.000 0.000 0.000
2 Ag 0.000 0.500 0.500
3 Ag 0.500 0.000 0.500
4 Br 0.271 0.271 0.261
5 Br 0.271 0.729 0.739
6 Br 0.729 0.271 0.739
7 Br 0.729 0.729 0.261

Values from the calculation:
- Energy above the lowest structure with this stoichiometry: 0.3 kJ/mol of atoms
- M_tot: 0.0 μB/f.u.



Density functional theory data (PBE) for Tl2Ag2Br after structural relaxation.

Cell: 8.075 8.075 3.977 Å, 90.00 90.00 90.00°
Fractional coordinates of all 10 atoms:
1 Tl 0.177 0.323 0.000
2 Tl 0.323 0.823 0.000
3 Tl 0.677 0.177 0.000
4 Tl 0.823 0.677 0.000
5 Ag 0.121 0.621 0.500
6 Ag 0.379 0.121 0.500
7 Ag 0.621 0.879 0.500
8 Ag 0.879 0.379 0.500
9 Br 0.000 0.000 0.500
10 Br 0.500 0.500 0.500

Values from the calculation:
- Energy above the lowest structure with this stoichiometry: 7.3 kJ/mol of atoms
- M_tot: 0.0 μB/f.u.



Density functional theory data (PBE) for TmTlAg2Br6 after structural relaxation.

Cell: 7.389 7.394 8.038 Å, 90.03 117.34 119.96°
Fractional coordinates of all 10 atoms:
1 Tm 0.000 0.000 0.000
2 Tl 0.038 0.519 0.557
3 Ag 0.625 0.813 0.438
4 Ag 0.665 0.333 0.998
5 Br 0.149 0.977 0.744
6 Br 0.151 0.754 0.216
7 Br 0.462 0.397 0.216
8 Br 0.572 0.596 0.745
9 Br 0.768 0.173 0.745
10 Br 0.820 0.066 0.217

Values from the calculation:
- M_tot: 0.0 μB/f.u.



Density functional theory data (PBE) for UTl2AgBr8 after structural relaxation.

Cell: 6.961 7.016 10.223 Å, 89.89 89.94 82.48°
Fractional coordinates of all 12 atoms:
1 U 0.000 0.000 0.000
2 Tl 0.499 0.500 0.272
3 Tl 0.501 0.500 0.728
4 Ag 0.000 0.000 0.500
5 Br 0.221 0.127 0.810
6 Br 0.222 0.125 0.189
7 Br 0.226 0.655 0.000
8 Br 0.230 0.691 0.501
9 Br 0.770 0.309 0.499
10 Br 0.774 0.345 0.000
11 Br 0.778 0.875 0.811
12 Br 0.779 0.873 0.190

Values from the calculation:
- M_tot: 1.0 μB/f.u.



Density functional theory data (PBE) for Tl3VAg3Br8 after structural relaxation.

Cell: 8.474 8.474 9.058 Å, 117.89 117.89 59.95°
Fractional coordinates of all 15 atoms:
1 Tl 0.000 0.000 0.000
2 Tl 0.000 0.500 0.000
3 Tl 0.500 0.000 0.000
4 V 0.000 0.000 0.500
5 Ag 0.000 0.500 0.500
6 Ag 0.500 0.000 0.500
7 Ag 0.500 0.500 0.500
8 Br 0.216 0.216 0.692
9 Br 0.217 0.759 0.692
10 Br 0.241 0.783 0.308
11 Br 0.265 0.265 0.296
12 Br 0.735 0.735 0.704
13 Br 0.759 0.217 0.692
14 Br 0.783 0.241 0.308
15 Br 0.784 0.784 0.308

Values from the calculation:
- M_tot: 3.0 μB/f.u.



Density functional theory data (PBE) for TlV2AgBr8 after structural relaxation.

Cell: 6.949 6.949 9.832 Å, 90.00 90.00 120.00°
Fractional coordinates of all 12 atoms:
1 Tl 0.000 0.000 0.000
2 V 0.333 0.667 0.751
3 V 0.667 0.333 0.249
4 Ag 0.000 0.000 0.500
5 Br 0.011 0.329 0.684
6 Br 0.318 0.989 0.684
7 Br 0.329 0.318 0.316
8 Br 0.333 0.667 0.992
9 Br 0.667 0.333 0.008
10 Br 0.671 0.682 0.684
11 Br 0.682 0.011 0.316
12 Br 0.989 0.671 0.316

Values from the calculation:
- M_tot: 4.0 μB/f.u.



Density functional theory data (PBE) for TlVAg2Br6 after structural relaxation.

Cell: 7.800 7.800 7.800 Å, 55.17 55.17 55.17°
Fractional coordinates of all 10 atoms:
1 Tl 0.000 0.000 0.000
2 V 0.481 0.481 0.481
3 Ag 0.287 0.287 0.287
4 Ag 0.817 0.817 0.817
5 Br 0.099 0.656 0.453
6 Br 0.260 0.546 0.854
7 Br 0.453 0.099 0.656
8 Br 0.546 0.854 0.260
9 Br 0.656 0.453 0.099
10 Br 0.854 0.260 0.546

Values from the calculation:
- M_tot: 2.0 μB/f.u.



Density functional theory data (PBE) for YTlAgBr5 after structural relaxation.

Cell: 7.966 7.966 10.667 Å, 102.43 102.43 109.58°
Fractional coordinates of all 16 atoms:
1 Y 0.000 0.000 0.000
2 Y 0.000 0.000 0.500
3 Tl 0.355 0.645 0.750
4 Tl 0.645 0.355 0.250
5 Ag 0.310 0.690 0.250
6 Ag 0.690 0.310 0.750
7 Br 0.077 0.923 0.750
8 Br 0.082 0.690 0.402
9 Br 0.256 0.370 0.058
10 Br 0.310 0.918 0.098
11 Br 0.370 0.256 0.558
12 Br 0.630 0.744 0.442
13 Br 0.690 0.082 0.902
14 Br 0.744 0.630 0.942
15 Br 0.918 0.310 0.598
16 Br 0.923 0.077 0.250

Values from the calculation:
- M_tot: 0.0 μB/f.u.



Density functional theory data (PBE) for YTl2AgBr6 after structural relaxation.

Cell: 7.658 8.087 13.201 Å, 90.00 124.77 90.00°
Fractional coordinates of all 20 atoms:
1 Y 0.000 0.000 0.000
2 Y 0.000 0.500 0.500
3 Tl 0.280 0.079 0.753
4 Tl 0.280 0.421 0.253
5 Tl 0.720 0.579 0.747
6 Tl 0.720 0.921 0.247
7 Ag 0.500 0.000 0.500
8 Ag 0.500 0.500 0.000
9 Br 0.149 0.021 0.250
10 Br 0.149 0.479 0.750
11 Br 0.236 0.707 0.048
12 Br 0.236 0.793 0.548
13 Br 0.347 0.191 0.048
14 Br 0.347 0.309 0.548
15 Br 0.653 0.691 0.452
16 Br 0.653 0.809 0.952
17 Br 0.764 0.207 0.452
18 Br 0.764 0.293 0.952
19 Br 0.851 0.521 0.250
20 Br 0.851 0.979 0.750

Values from the calculation:
- M_tot: 0.0 μB/f.u.



Density functional theory data (PBE) for Tl2ZnAgBr5 after structural relaxation.

Cell: 10.642 10.642 13.593 Å, 90.00 90.00 157.59°
Fractional coordinates of all 18 atoms:
1 Tl 0.121 0.879 0.500
2 Tl 0.137 0.863 0.868
3 Tl 0.863 0.137 0.368
4 Tl 0.879 0.121 0.000
5 Zn 0.435 0.565 0.616
6 Zn 0.565 0.435 0.116
7 Ag 0.221 0.779 0.221
8 Ag 0.779 0.221 0.721
9 Br 0.038 0.962 0.212
10 Br 0.294 0.706 0.859
11 Br 0.321 0.679 0.579
12 Br 0.351 0.649 0.186
13 Br 0.492 0.508 0.461
14 Br 0.508 0.492 0.961
15 Br 0.649 0.351 0.686
16 Br 0.679 0.321 0.079
17 Br 0.706 0.294 0.359
18 Br 0.962 0.038 0.712

Values from the calculation:
- M_tot: 0.0 μB/f.u.



Calculated values (eV/atom) of energy relative to the elements, uncorrected for the records, taken in order: 0.040; -0.469; 0.040; -0.368; -0.146; -0.569; 0.013; -0.198; -0.388; -0.469; -0.407; -0.054; -1.026; -0.950; -0.610; -0.700; -0.602; -1.229; -1.164; -0.746.